Record 1
Below is an optimized crystal structure of Eu2HCl, with properties calculated at the PBE level. Values from VASP.

Values from the calculation:
DFT total energy (eV/cell): -29.76
Density of states at the Fermi level (states/eV/atom): 0.30

```
&SYSTEM
  ibrav = 0, nat = 4, ntyp = 3
/
ATOMIC_SPECIES
Eu 151.96 Eu.upf
H 1.01 H.upf
Cl 35.45 Cl.upf
ATOMIC_POSITIONS angstrom
Eu 1.915 1.105 1.432
Eu 5.744 3.316 5.753
H 0.000 0.000 0.000
Cl 3.829 2.211 3.592
CELL_PARAMETERS angstrom
3.829 0.000 0.000
1.915 3.316 0.000
1.915 1.105 7.185
```

---

Record 2
Below is an optimized crystal structure of PrCu4P3, with properties calculated at the PBE level. Values from VASP.

Values from the calculation:
Energy relative to the elements (eV/f.u.): -3.6
DFT total energy (eV/cell): -41.01
Density of states at the Fermi level (states/eV/atom): 0.35

```
&SYSTEM
  ibrav = 0, nat = 8, ntyp = 3
/
ATOMIC_SPECIES
Pr 140.91 Pr.upf
P 30.97 P.upf
Cu 63.55 Cu.upf
ATOMIC_POSITIONS angstrom
Pr 2.402 2.745 1.939
P 0.000 0.000 0.000
P -0.243 1.923 3.341
P 1.415 3.817 4.679
Cu -0.760 2.012 1.047
Cu 0.557 -0.044 2.326
Cu 2.430 5.659 3.623
Cu 3.748 3.602 4.902
CELL_PARAMETERS angstrom
-3.133 2.182 0.792
-0.498 -1.931 3.351
4.803 5.489 3.878
```

---

Record 3
Below is an optimized crystal structure of SmMg4Si2, with properties calculated at the PBE level. Values from VASP.

Values from the calculation:
Formation energy from raw total energies (meV/atom): -291.2
DFT total energy (eV/cell): -23.98
Density of states at the Fermi level (states/eV/atom): 0.22

```
&SYSTEM
  ibrav = 0, nat = 7, ntyp = 3
/
ATOMIC_SPECIES
Sm 150.36 Sm.upf
Mg 24.30 Mg.upf
Si 28.09 Si.upf
ATOMIC_POSITIONS angstrom
Sm 0.000 0.000 0.000
Mg -4.429 -2.577 3.299
Mg -1.327 -2.030 2.645
Mg -3.372 -0.543 1.003
Mg -3.225 0.050 4.161
Si -1.902 -2.616 0.040
Si -5.898 -0.504 4.262
CELL_PARAMETERS angstrom
-3.248 -1.140 -2.504
0.880 -4.114 0.731
-5.432 2.134 6.075
```

---

Record 4
Below is an optimized crystal structure of KAlTl, with properties calculated at the PBE level. Values from VASP.

Values from the calculation:
Energy relative to the elements (eV/f.u.): 0.5
DFT total energy (eV/cell): -6.75
Density of states at the Fermi level (states/eV/atom): 0.40
ΔE to the lowest computed polymorph (meV per atom): 137.6

```
&SYSTEM
  ibrav = 0, nat = 3, ntyp = 3
/
ATOMIC_SPECIES
Tl 204.38 Tl.upf
K 39.10 K.upf
Al 26.98 Al.upf
ATOMIC_POSITIONS angstrom
Tl -9.497 -1.293 0.060
K -5.686 -0.252 1.559
Al -1.756 0.821 3.104
CELL_PARAMETERS angstrom
-7.203 0.459 -1.429
-6.730 -2.963 -0.256
-1.503 0.890 3.204
```

---

Record 5
Below is an optimized crystal structure of ZrPN2, with properties calculated at the PBE level. Values from VASP.

Values from the calculation:
Formation energy from raw total energies (meV/atom): -463.7
DFT total energy (eV/cell): -32.46
Density of states at the Fermi level (states/eV/atom): 0.28

```
&SYSTEM
  ibrav = 0, nat = 4, ntyp = 3
/
ATOMIC_SPECIES
P 30.97 P.upf
Zr 91.22 Zr.upf
N 14.01 N.upf
ATOMIC_POSITIONS angstrom
P 0.000 0.000 0.000
Zr -2.373 1.023 8.517
N -4.273 1.842 15.335
N -0.473 0.204 1.698
CELL_PARAMETERS angstrom
-3.359 0.981 5.147
-0.994 -1.063 6.051
-0.393 2.128 5.836
```

---

Record 6
Below is an optimized crystal structure of PrTmCdAu, with properties calculated at the PBE level. Values from VASP.

Values from the calculation:
Energy relative to the elements (eV/f.u.): -2.3
DFT total energy (eV/cell): -15.71
Density of states at the Fermi level (states/eV/atom): 1.06
ΔE to the lowest computed polymorph (meV per atom): 0.0

```
&SYSTEM
  ibrav = 0, nat = 4, ntyp = 4
/
ATOMIC_SPECIES
Pr 140.91 Pr.upf
Tm 168.93 Tm.upf
Cd 112.41 Cd.upf
Au 196.97 Au.upf
ATOMIC_POSITIONS angstrom
Pr -2.497 6.066 0.473
Tm -0.972 2.361 0.184
Cd -3.884 3.276 -0.803
Au -2.607 0.175 -1.045
CELL_PARAMETERS angstrom
-1.222 -0.233 -3.461
-3.175 -1.402 1.216
-2.885 7.009 0.546
```

---

Record 7
Below is an optimized crystal structure of Rb3Er3VTe8, with properties calculated at the PBE level. Values from VASP.

Values from the calculation:
Formation energy from raw total energies (meV/atom): -1086.7
DFT total energy (eV/cell): -67.14
Density of states at the Fermi level (states/eV/atom): 0.54

```
&SYSTEM
  ibrav = 0, nat = 15, ntyp = 4
/
ATOMIC_SPECIES
Rb 85.47 Rb.upf
Er 167.26 Er.upf
V 50.94 V.upf
Te 127.60 Te.upf
ATOMIC_POSITIONS angstrom
Rb 0.000 0.000 0.000
Rb 3.172 -2.330 1.765
Rb 0.096 -0.644 4.262
Er -1.745 6.356 0.985
Er 1.427 4.026 2.749
Er 4.503 2.339 0.252
V 1.331 4.669 -1.513
Te 2.541 1.214 2.307
Te 0.314 6.837 3.192
Te -0.393 2.935 4.957
Te 3.247 5.116 0.542
Te -3.785 5.427 3.070
Te 6.639 2.624 2.429
Te -0.495 3.623 0.399
Te 3.349 4.428 5.100
CELL_PARAMETERS angstrom
-6.152 3.373 4.995
6.344 -4.661 3.530
2.663 9.339 -3.026
```

---

Record 8
Below is an optimized crystal structure of In2HgBrCl, with properties calculated at the PBE level. Values from VASP.

Values from the calculation:
Formation energy from raw total energies (meV/atom): -558.8
DFT total energy (eV/cell): -24.18

```
&SYSTEM
  ibrav = 0, nat = 10, ntyp = 4
/
ATOMIC_SPECIES
In 114.82 In.upf
Hg 200.59 Hg.upf
Br 79.90 Br.upf
Cl 35.45 Cl.upf
ATOMIC_POSITIONS angstrom
In 4.200 3.098 4.022
In 0.561 2.030 3.638
In 4.066 6.677 1.354
In 0.696 -1.549 6.306
Hg 3.124 -0.020 4.596
Hg 1.638 5.148 3.064
Br 1.392 1.795 0.803
Br 3.370 3.334 6.857
Cl -0.731 -0.540 3.517
Cl 5.493 5.668 4.143
CELL_PARAMETERS angstrom
-3.409 1.605 2.325
4.020 -5.992 5.815
4.151 9.515 -0.480
```